Record 1
Material: ReRuSe2
Method: DFT, GGA-PBE
State: relaxed

The space group is Pmmm (No. 47) and the conventional cell measures 2.986, 4.125 and 5.395 Å, with angles of 90.00, 90.00 and 90.00 degrees. Symmetry generates all atoms from Re at (0.000, 0.000, 0.000), Ru at (0.500, 0.000, 0.500), Se at (0.000, 0.500, 0.500) and Se at (0.500, 0.500, 0.000).

As for the density of states at the Fermi level: 4.56 states/eV/f.u. The calculation puts the density at 11.12 g/cm3. For the formation energy without anion corrections, the calculation gives 0.839 eV/atom.

Record 2
Material: AcPrAg2Ge2
Method: DFT, GGA-PBE
State: relaxed

The space group is P-3m1 (No. 164) and the conventional cell measures 4.6020, 4.6020 and 8.1661 Å, with angles of 90.00, 90.00 and 120.00 degrees. Symmetry generates all atoms from Ac at (0.0000, 0.0000, 0.0000), Pr at (0.0000, 0.0000, 0.5000), Ag at (0.3333, 0.6667, 0.7299) and Ge at (0.3333, 0.6667, 0.2629).

As for the density of states at the Fermi level: 1.11 states/eV/f.u. The calculation puts the density at 8.08 g/cm3. Its formation energy from the elements is -3.56 eV/f.u.